[1]
A plane-wave DFT calculation with PBE-GGA was carried out for a relaxed structure of EuYNiAg.

Lattice parameters (Å, degrees): 5.0743 5.0743 5.0743 60.00 60.00 60.00
Closest atoms and distances in Å follow each position.
Sites, in units of the cell vectors:
Eu: 0.0000 0.0000 0.0000  4 Ag 3.11, 4 Ni 3.11
Y: 0.5000 0.5000 0.5000  4 Ag 3.11, 4 Ni 3.11
Ni: 0.2500 0.2500 0.2500  4 Y 3.11, 4 Eu 3.11
Ag: 0.7500 0.7500 0.7500  4 Eu 3.11, 4 Y 3.11

M_tot in μB per formula unit: 7.07
Fermi-level density of states in states/eV per cell: 8.7
Space-group type: F-43m
ΔH_f (0 K) in kJ per mole of atoms: -17.2

[2]
A plane-wave DFT calculation with PBE-GGA was carried out for a relaxed structure of EuAgO3.

Lattice parameters (Å, degrees): 4.0804 4.0804 4.0804 90.00 90.00 90.00
Closest atoms and distances in Å follow each position.
Sites, in units of the cell vectors:
Eu: 0.0000 0.0000 0.0000  12 O 2.89
Ag: 0.5000 0.5000 0.5000  6 O 2.04
O: 0.0000 0.5000 0.5000  2 Ag 2.04
O: 0.5000 0.0000 0.5000  2 Ag 2.04
O: 0.5000 0.5000 0.0000  2 Ag 2.04

M_tot in μB per formula unit: 6.44
Fermi-level density of states in states/eV per cell: 10.8
Space-group type: Pm-3m
Formation energy from raw total energies in eV per atom: -1.07

[3]
A plane-wave DFT calculation with PBE-GGA was carried out for a relaxed structure of Eu3AgO.

Lattice parameters (Å, degrees): 5.0344 5.0344 5.0344 90.00 90.00 90.00
Closest atoms and distances in Å follow each position.
Sites, in units of the cell vectors:
Eu: 0.0000 0.0000 0.5000  2 O 2.52
Eu: 0.0000 0.5000 0.0000  2 O 2.52
Eu: 0.5000 0.0000 0.0000  2 O 2.52
Ag: 0.5000 0.5000 0.5000  12 Eu 3.56
O: 0.0000 0.0000 0.0000  6 Eu 2.52

M_tot in μB per formula unit: 22.13
Fermi-level density of states in states/eV per cell: 8.9
Space-group type: Pm-3m
Formation energy from raw total energies in eV per atom: -1.19

[4]
A plane-wave DFT calculation with PBE-GGA was carried out for a relaxed structure of EuThAgOs.

Lattice parameters (Å, degrees): 5.1046 5.1046 5.1046 60.00 60.00 60.00
Closest atoms and distances in Å follow each position.
Sites, in units of the cell vectors:
Eu: 0.0000 0.0000 0.0000  4 Os 3.13, 4 Ag 3.13
Th: 0.5000 0.5000 0.5000  4 Os 3.13, 4 Ag 3.13
Ag: 0.2500 0.2500 0.2500  4 Th 3.13, 4 Eu 3.13
Os: 0.7500 0.7500 0.7500  4 Th 3.13, 4 Eu 3.13

M_tot in μB per formula unit: 6.89
Fermi-level density of states in states/eV per cell: 2.4
Space-group type: F-43m
ΔH_f (0 K) in kJ per mole of atoms: -2.9

[5]
A plane-wave DFT calculation with PBE-GGA was carried out for a relaxed structure of Eu2AgP.

Lattice parameters (Å, degrees): 3.6831 3.6831 7.4310 90.00 90.00 90.00
Closest atoms and distances in Å follow each position.
Sites, in units of the cell vectors:
Eu: 0.0000 0.0000 0.2163  4 P 3.06, 1 Eu 3.22, 4 Ag 3.35
Eu: 0.0000 0.0000 0.7837  4 P 3.06, 1 Eu 3.22, 4 Ag 3.35
Ag: 0.5000 0.5000 0.5000  8 Eu 3.35, 4 Ag 3.68, 2 P 3.72
P: 0.5000 0.5000 0.0000  8 Eu 3.06

M_tot in μB per formula unit: 13.75
Fermi-level density of states in states/eV per cell: 5.0
Space-group type: P4/mmm
ΔH_f (0 K) in kJ per mole of atoms: -68.3

[6]
A plane-wave DFT calculation with PBE-GGA was carried out for a relaxed structure of Eu2AgP.

Lattice parameters (Å, degrees): 7.8607 7.8607 7.8607 31.75 31.75 31.75
Closest atoms and distances in Å follow each position.
Sites, in units of the cell vectors:
Eu: 0.2367 0.2367 0.2367  3 P 2.94
Eu: 0.7633 0.7633 0.7633  3 P 2.94
Ag: 0.0000 0.0000 0.0000  6 Eu 3.29
P: 0.5000 0.5000 0.5000  6 Eu 2.94

M_tot in μB per formula unit: 13.98
Fermi-level density of states in states/eV per cell: 22.0
Space-group type: R-3m
ΔH_f (0 K) in kJ per mole of atoms: -69.0

[7]
A plane-wave DFT calculation with PBE-GGA was carried out for a relaxed structure of PmEuAgP.

Lattice parameters (Å, degrees): 5.1535 5.1535 5.1535 60.00 60.00 60.00
Closest atoms and distances in Å follow each position.
Sites, in units of the cell vectors:
Pm: 0.0000 0.0000 0.0000  4 Ag 3.16, 4 P 3.16
Eu: 0.5000 0.5000 0.5000  4 Ag 3.16, 4 P 3.16
Ag: 0.7500 0.7500 0.7500  4 Pm 3.16, 4 Eu 3.16
P: 0.2500 0.2500 0.2500  4 Pm 3.16, 4 Eu 3.16

M_tot in μB per formula unit: 7.92
Fermi-level density of states in states/eV per cell: 2.8
Space-group type: F-43m
ΔH_f (0 K) in kJ per mole of atoms: -58.8

[8]
A plane-wave DFT calculation with PBE-GGA was carried out for a relaxed structure of EuAgPb.

Lattice parameters (Å, degrees): 7.9240 7.9240 7.9240 152.24 152.24 39.67
Closest atoms and distances in Å follow each position.
Sites, in units of the cell vectors:
Eu: 0.0000 0.0000 0.0000  1 Ag 3.02, 1 Pb 3.35
Ag: 0.2025 0.2025 0.0000  4 Pb 2.90, 1 Eu 3.02
Pb: 0.7752 0.7752 0.0000  4 Ag 2.90

M_tot in μB per formula unit: 7.69
Fermi-level density of states in states/eV per cell: 1.6
Space-group type: I4mm
ΔH_f (0 K) in kJ per mole of atoms: 22.7

[9]
A plane-wave DFT calculation with PBE-GGA was carried out for a relaxed structure of EuAg2Pb.

Lattice parameters (Å, degrees): 5.1718 5.1718 5.1718 119.92 119.92 90.15
Closest atoms and distances in Å follow each position.
Sites, in units of the cell vectors:
Eu: 0.0000 0.0000 0.0000  8 Ag 3.17
Ag: 0.2500 0.7500 0.5000  4 Pb 3.17, 4 Eu 3.17
Ag: 0.7500 0.2500 0.5000  4 Pb 3.17, 4 Eu 3.17
Pb: 0.5000 0.5000 0.0000  8 Ag 3.17

M_tot in μB per formula unit: 6.95
Fermi-level density of states in states/eV per cell: 1.5
Space-group type: I4/mmm
ΔH_f (0 K) in kJ per mole of atoms: -24.9

[10]
A plane-wave DFT calculation with PBE-GGA was carried out for a relaxed structure of EuAgPb.

Lattice parameters (Å, degrees): 5.0217 5.0217 3.8041 90.00 90.00 120.00
Closest atoms and distances in Å follow each position.
Sites, in units of the cell vectors:
Eu: 0.0000 0.0000 0.0000  6 Ag 3.47, 6 Pb 3.47, 2 Eu 3.80
Ag: 0.6667 0.3333 0.5000  3 Pb 2.90
Pb: 0.3333 0.6667 0.5000  3 Ag 2.90

M_tot in μB per formula unit: 6.95
Fermi-level density of states in states/eV per cell: 10.8
Space-group type: P-6m2
ΔH_f (0 K) in kJ per mole of atoms: -38.4

[11]
A plane-wave DFT calculation with PBE-GGA was carried out for a relaxed structure of EuAgPb2.

Lattice parameters (Å, degrees): 4.8314 4.8314 4.6729 90.00 90.00 90.00
Closest atoms and distances in Å follow each position.
Sites, in units of the cell vectors:
Eu: 0.0000 0.0000 0.0000  8 Pb 3.36, 4 Ag 3.42
Ag: 0.5000 0.5000 0.0000  8 Pb 3.36, 4 Eu 3.42
Pb: 0.0000 0.5000 0.5000  4 Eu 3.36, 4 Ag 3.36, 4 Pb 3.42
Pb: 0.5000 0.0000 0.5000  4 Eu 3.36, 4 Ag 3.36, 4 Pb 3.42

M_tot in μB per formula unit: 7.06
Fermi-level density of states in states/eV per cell: 6.8
Space-group type: P4/mmm
ΔH_f (0 K) in kJ per mole of atoms: -26.1

[12]
A plane-wave DFT calculation with PBE-GGA was carried out for a relaxed structure of EuAgPb.

Lattice parameters (Å, degrees): 5.0257 5.0257 5.0257 60.00 60.00 60.00
Closest atoms and distances in Å follow each position.
Sites, in units of the cell vectors:
Eu: 0.0000 0.0000 0.0000  4 Ag 3.08
Ag: 0.2500 0.2500 0.2500  4 Pb 3.08, 4 Eu 3.08
Pb: 0.5000 0.5000 0.5000  4 Ag 3.08

M_tot in μB per formula unit: 6.90
Fermi-level density of states in states/eV per cell: 13.6
Space-group type: F-43m
ΔH_f (0 K) in kJ per mole of atoms: -28.2

[13]
A plane-wave DFT calculation with PBE-GGA was carried out for a relaxed structure of EuAgPb2.

Lattice parameters (Å, degrees): 3.8485 3.8485 7.5837 90.00 90.00 90.00
Closest atoms and distances in Å follow each position.
Sites, in units of the cell vectors:
Eu: 0.0000 0.0000 0.0000  8 Pb 3.49, 2 Ag 3.79, 4 Eu 3.85
Ag: 0.0000 0.0000 0.5000  8 Pb 3.16
Pb: 0.5000 0.5000 0.2885  4 Ag 3.16, 1 Pb 3.21, 4 Eu 3.49
Pb: 0.5000 0.5000 0.7115  4 Ag 3.16, 1 Pb 3.21, 4 Eu 3.49

M_tot in μB per formula unit: 7.24
Fermi-level density of states in states/eV per cell: 1.6
Space-group type: P4/mmm
ΔH_f (0 K) in kJ per mole of atoms: -16.3

[14]
A plane-wave DFT calculation with PBE-GGA was carried out for a relaxed structure of EuAg2Pb.

Lattice parameters (Å, degrees): 4.8295 4.8295 4.3379 90.00 90.00 90.00
Closest atoms and distances in Å follow each position.
Sites, in units of the cell vectors:
Eu: 0.0000 0.0000 0.0000  8 Ag 3.25, 4 Pb 3.41
Ag: 0.0000 0.5000 0.5000  4 Pb 3.25, 4 Eu 3.25, 4 Ag 3.41
Ag: 0.5000 0.0000 0.5000  4 Pb 3.25, 4 Eu 3.25, 4 Ag 3.41
Pb: 0.5000 0.5000 0.0000  8 Ag 3.25, 4 Eu 3.41

M_tot in μB per formula unit: 7.17
Fermi-level density of states in states/eV per cell: 11.6
Space-group type: P4/mmm
ΔH_f (0 K) in kJ per mole of atoms: -16.2

[15]
A plane-wave DFT calculation with PBE-GGA was carried out for a relaxed structure of EuAgPb2.

Lattice parameters (Å, degrees): 11.3510 11.3510 11.3510 18.03 18.03 18.03
Closest atoms and distances in Å follow each position.
Sites, in units of the cell vectors:
Eu: 0.0000 0.0000 0.0000  2 Pb 3.31, 6 Eu 3.56
Ag: 0.5000 0.5000 0.5000  6 Pb 3.06
Pb: 0.0988 0.0988 0.0988  3 Ag 3.06, 1 Eu 3.31
Pb: 0.9012 0.9012 0.9012  3 Ag 3.06, 1 Eu 3.31

M_tot in μB per formula unit: 7.74
Fermi-level density of states in states/eV per cell: 2.3
Space-group type: R-3m
ΔH_f (0 K) in kJ per mole of atoms: 9.4

Summary of uncorrected energy in eV per atom
-6.52; -6.67; -8.91; -7.97; -7.91; -7.92; -6.43; -5.38; -5.18; -6.01; -5.41; -5.90; -5.30; -5.09; -5.04
(order as listed above)